Entry 1:
DFT (PBE+U) results for crystalline ZnCoP2O7 at its relaxed geometry.

The space group is P1 (No. 1) and the conventional cell measures 4.4850, 5.2591 and 5.2821 Å, with angles of 103.40, 98.65 and 98.69 degrees. Symmetry generates all atoms from Zn at (0.0000, 0.0000, 0.0000), Co at (0.9973, 0.6207, 0.3842), P at (0.4064, 0.5268, 0.9101), P at (0.5928, 0.0909, 0.4741), O at (0.2197, 0.3813, 0.0722), O at (0.2219, 0.6891, 0.7650), O at (0.2841, 0.9269, 0.3114), O at (0.5010, 0.3089, 0.6929), O at (0.7145, 0.6908, 0.0743), O at (0.7776, 0.2373, 0.3131) and O at (0.7793, 0.9272, 0.6181).

The calculation puts the offset from the most stable computed form at 0.012 eV/atom.

=====

Entry 2:
DFT (PBE+U) results for crystalline ZrCoPO at its relaxed geometry.

The space group is Pmc2_1 (No. 26) and the conventional cell measures 4.2069, 5.3678 and 5.3638 Å, with angles of 90.00, 90.00 and 90.00 degrees. Symmetry generates all atoms from Zr at (0.0000, 0.2387, 0.0000), Co at (0.5000, 0.1337, 0.6312), P at (0.0000, 0.2582, 0.5049) and O at (0.5000, 0.2398, 0.0098).

The calculation puts the offset from the most stable computed form at 0.314 eV/atom.

=====

Entry 3:
DFT (PBE+U) results for crystalline ZrCoPO at its relaxed geometry.

The space group is P4/nmm (No. 129, origin choice 2) and the conventional cell measures 4.2441, 4.2441 and 8.4634 Å, with angles of 90.00, 90.00 and 90.00 degrees. Symmetry generates all atoms from Zr at (0.2500, 0.7500, 0.0000), Co at (0.2500, 0.2500, 0.4876), P at (0.2500, 0.2500, 0.1664) and O at (0.2500, 0.7500, 0.5000).

The calculation puts the offset from the most stable computed form at 1.120 eV/atom.

=====

Entry 4:
DFT (PBE+U) results for crystalline ZrCoPO at its relaxed geometry.

The space group is Pmc2_1 (No. 26) and the conventional cell measures 3.5618, 5.6299 and 6.2047 Å, with angles of 90.00, 90.00 and 90.00 degrees. Symmetry generates all atoms from Zr at (0.0000, 0.0253, 0.0000), Co at (0.5000, 0.3854, 0.3788), P at (0.5000, 0.2339, 0.7384) and O at (0.0000, 0.2556, 0.2679).

The calculation puts the offset from the most stable computed form at 0.266 eV/atom.

=====

Entry 5:
DFT (PBE+U) results for crystalline ZrCoPO at its relaxed geometry.

The space group is P4/nmm (No. 129, origin choice 2) and the conventional cell measures 3.6076, 3.6076 and 7.9961 Å, with angles of 90.00, 90.00 and 90.00 degrees. Symmetry generates all atoms from Zr at (0.2500, 0.2500, 0.1579), Co at (0.2500, 0.7500, 0.5000), P at (0.2500, 0.2500, 0.6822) and O at (0.2500, 0.7500, 0.0000).

The calculation puts the offset from the most stable computed form at 0.000 eV/atom.

=====

Entry 6:
DFT (PBE+U) results for crystalline CoPb2O4 at its relaxed geometry.

The space group is P4/mmm (No. 123) and the conventional cell measures 3.9479, 3.9479 and 6.0476 Å, with angles of 90.00, 90.00 and 90.00 degrees. Symmetry generates all atoms from Co at (0.0000, 0.0000, 0.0000), Pb at (0.0000, 0.0000, 0.5000), Pb at (0.5000, 0.5000, 0.0000) and O at (0.0000, 0.5000, 0.2093).

The calculation puts the offset from the most stable computed form at 0.212 eV/atom.

=====

Entry 7:
DFT (PBE+U) results for crystalline CoPb2O4 at its relaxed geometry.

The space group is Fd-3m (No. 227, origin choice 2) and the conventional cell measures 9.4613, 9.4613 and 9.4613 Å, with angles of 90.00, 90.00 and 90.00 degrees. Symmetry generates all atoms from Co at (0.1250, 0.1250, 0.1250), Pb at (0.0000, 0.0000, 0.5000) and O at (0.0029, 0.0029, 0.2471).

The calculation puts the offset from the most stable computed form at 0.000 eV/atom.

=====

Entry 8:
DFT (PBE+U) results for crystalline CoPbO3 at its relaxed geometry.

The space group is R-3 (No. 148, hexagonal axes) and the conventional cell measures 5.4661, 5.4661 and 14.2545 Å, with angles of 90.00, 90.00 and 120.00 degrees. Symmetry generates all atoms from Co at (0.0000, 0.0000, 0.1457), Pb at (0.0000, 0.0000, 0.3627) and O at (0.0148, 0.7111, 0.7534).

Its calculated total energy is -5.64 eV per atom.